Entry 1:
ScIrPdW2 | Alexandria via LeMat-Bulk | GGA-PBE | optimized geometry; magnetic moment = 0.00 μB/cell; crystal system = tetragonal; ΔH_f (0 K) = 2108 meV/atom
1.0
4.625 0.000 0.000
0.000 4.625 0.000
0.000 0.000 4.566
Sc Ir Pd W
1 1 1 2
direct
0.000 0.000 0.000 Sc
0.000 0.000 0.500 Ir
0.500 0.500 0.500 Pd
0.000 0.500 0.000 W
0.500 0.000 0.000 W

***

Entry 2:
Sc4ZnIrPd2 | Alexandria via LeMat-Bulk | GGA-PBE | optimized geometry; magnetic moment = 0.00 μB/cell; crystal system = trigonal; ΔH_f (0 K) = -818 meV/atom
1.0
2.330 1.345 7.658
-2.330 1.345 7.658
0.000 -2.690 7.658
Sc Zn Ir Pd
4 1 1 2
direct
0.121 0.121 0.121 Sc
0.372 0.372 0.372 Sc
0.628 0.628 0.628 Sc
0.879 0.879 0.879 Sc
0.500 0.500 0.500 Zn
0.000 0.000 0.000 Ir
0.248 0.248 0.248 Pd
0.752 0.752 0.752 Pd

***

Entry 3:
ScZnIrPd | Alexandria via LeMat-Bulk | GGA-PBE | optimized geometry; magnetic moment = 0.00 μB/cell; crystal system = cubic; ΔH_f (0 K) = -717 meV/atom
1.0
0.000 3.155 3.155
3.155 0.000 3.155
3.155 3.155 0.000
Sc Zn Ir Pd
1 1 1 1
direct
0.000 0.000 0.000 Sc
0.500 0.500 0.500 Zn
0.750 0.750 0.750 Ir
0.250 0.250 0.250 Pd

***

Entry 4:
IrPdSe2 | Alexandria via LeMat-Bulk | GGA-PBE | optimized geometry; formation energy from raw total energies = 0.3083 eV/atom; magnetic moment = 0.00 μB/cell; crystal system = trigonal
1.0
1.530 0.883 8.767
-1.530 0.883 8.767
0.000 -1.766 8.767
Ir Pd Se
1 1 2
direct
0.000 0.000 0.000 Ir
0.500 0.500 0.500 Pd
0.091 0.091 0.091 Se
0.909 0.909 0.909 Se

***

Entry 5:
IrPdSe3 | Alexandria via LeMat-Bulk | GGA-PBE | optimized geometry; formation energy from raw total energies = 0.7551 eV/atom; energy relative to the lowest polymorph listed for this composition = 0 meV per atom; magnetic moment = 0.00 μB/cell; crystal system = cubic
1.0
4.892 0.000 0.000
0.000 4.892 0.000
0.000 0.000 4.892
Ir Pd Se
1 1 3
direct
0.000 0.000 0.000 Ir
0.500 0.500 0.500 Pd
0.000 0.000 0.500 Se
0.000 0.500 0.000 Se
0.500 0.000 0.000 Se

***

Entry 6:
IrPdSe2 | Alexandria via LeMat-Bulk | GGA-PBE | optimized geometry; formation energy from raw total energies = 0.0270 eV/atom; magnetic moment = 0.00 μB/cell; crystal system = tetragonal
1.0
-2.755 2.755 5.925
2.755 -2.755 5.925
2.755 2.755 -5.925
Ir Pd Se
2 2 4
direct
0.000 0.000 0.000 Ir
0.750 0.250 0.500 Ir
0.250 0.750 0.500 Pd
0.500 0.500 0.000 Pd
0.108 0.625 0.983 Se
0.375 0.358 0.483 Se
0.642 0.125 0.017 Se
0.875 0.892 0.517 Se